# 1
Ba2NbSn4 (PBE, relaxed); space-group type = I4/mmm, No. 139; energy = -31.901 eV for the cell shown
1.0
-2.693 2.693 8.713
2.693 -2.693 8.713
2.693 2.693 -8.713
Ba Nb Sn
2 1 4
direct
0.142 0.142 0.000 Ba
0.858 0.858 0.000 Ba
0.500 0.500 0.000 Nb
0.000 0.500 0.500 Sn
0.341 0.341 0.000 Sn
0.500 0.000 0.500 Sn
0.659 0.659 0.000 Sn

# 2
CaHf3Ti (PBE, relaxed); E above lowest polymorph = 0.0000 eV/atom; space-group type = Pm-3m, No. 221
1.0
5.088 0.000 0.000
0.000 5.088 0.000
0.000 0.000 5.088
Ca Hf Ti
1 3 1
direct
0.000 0.000 0.000 Ca
0.000 0.500 0.500 Hf
0.500 0.000 0.500 Hf
0.500 0.500 0.000 Hf
0.500 0.500 0.500 Ti

# 3
PmNi8B2 (PBE, relaxed); space-group type = P4/mmm, No. 123; energy = -62.866 eV for the cell shown
1.0
4.749 0.000 0.000
0.000 4.749 0.000
0.000 0.000 7.055
Pm Ni B
1 8 2
direct
0.000 0.000 0.000 Pm
0.253 0.253 0.327 Ni
0.253 0.253 0.673 Ni
0.253 0.747 0.327 Ni
0.253 0.747 0.673 Ni
0.747 0.253 0.327 Ni
0.747 0.253 0.673 Ni
0.747 0.747 0.327 Ni
0.747 0.747 0.673 Ni
0.000 0.500 0.500 B
0.500 0.000 0.500 B

In order of appearance, N(E_F) = 0.635; 1.638; 1.671 states/eV per atom.